# 1
This record from OQMD describes a relaxed structure of TbHgNO. The functional is PBE-GGA.

Lattice parameters (Å, degrees): 5.072 5.072 4.585 90.00 90.00 90.00
Element x y z (fractional)
Tb: 0.250 0.750 0.000
Tb: 0.750 0.250 0.000
Hg: 0.250 0.250 0.499
Hg: 0.750 0.750 0.501
N: 0.250 0.250 0.999
N: 0.750 0.750 0.001
O: 0.250 0.750 0.500
O: 0.750 0.250 0.500

Calculated values
Total magnetization, Bohr magnetons per cell: 0.00
Energy above the lowest structure with this stoichiometry, eV per atom: 0.1235

***

# 2
This record from OQMD describes a relaxed structure of NdSi2Ni. The functional is PBE-GGA.

Lattice parameters (Å, degrees): 8.477 8.477 4.060 90.00 90.00 151.72
Element x y z (fractional)
Nd: 0.106 0.894 0.750
Nd: 0.894 0.106 0.250
Si: 0.249 0.751 0.250
Si: 0.460 0.540 0.750
Si: 0.540 0.460 0.250
Si: 0.751 0.249 0.750
Ni: 0.319 0.681 0.750
Ni: 0.681 0.319 0.250

Calculated values
Total magnetization, Bohr magnetons per cell: 0.00

***

# 3
This record from OQMD describes a relaxed structure of NpPtAu. The functional is PBE-GGA.

Lattice parameters (Å, degrees): 4.611 4.611 4.611 60.00 60.00 60.00
Element x y z (fractional)
Np: 0.000 0.000 0.000
Pt: 0.750 0.750 0.750
Au: 0.500 0.500 0.500

Calculated values
Formation enthalpy at 0 K, eV/atom: 0.077
Total magnetization, Bohr magnetons per cell: 0.01

***

# 4
This record from OQMD describes a relaxed structure of RbPr2Cu3Te5. The functional is PBE-GGA.

Lattice parameters (Å, degrees): 8.083 8.083 18.707 90.00 90.00 148.03
Element x y z (fractional)
Rb: 0.056 0.944 0.750
Rb: 0.944 0.056 0.250
Pr: 0.193 0.807 0.090
Pr: 0.193 0.807 0.410
Pr: 0.807 0.193 0.590
Pr: 0.807 0.193 0.910
Cu: 0.336 0.664 0.750
Cu: 0.415 0.585 0.020
Cu: 0.415 0.585 0.480
Cu: 0.585 0.415 0.520
Cu: 0.585 0.415 0.980
Cu: 0.664 0.336 0.250
Te: 0.155 0.845 0.574
Te: 0.155 0.845 0.926
Te: 0.250 0.750 0.250
Te: 0.447 0.553 0.619
Te: 0.447 0.553 0.881
Te: 0.553 0.447 0.119
Te: 0.553 0.447 0.381
Te: 0.750 0.250 0.750
Te: 0.845 0.155 0.074
Te: 0.845 0.155 0.426

Calculated values
Total magnetization, Bohr magnetons per cell: 0.00

***

# 5
This record from OQMD describes a relaxed structure of SrAl2ZnPt. The functional is PBE-GGA.

Lattice parameters (Å, degrees): 6.352 6.352 6.352 140.48 140.48 57.12
Element x y z (fractional)
Sr: 0.000 0.000 0.000
Al: 0.247 0.747 0.500
Al: 0.747 0.247 0.500
Zn: 0.394 0.394 0.000
Pt: 0.630 0.630 0.000

Calculated values
Total magnetization, Bohr magnetons per cell: 0.00

***

# 6
This record from OQMD describes a relaxed structure of YNbFeBi. The functional is PBE-GGA.

Lattice parameters (Å, degrees): 4.839 4.839 4.839 60.00 60.00 60.00
Element x y z (fractional)
Y: 0.000 0.000 0.000
Nb: 0.250 0.250 0.250
Fe: 0.750 0.750 0.750
Bi: 0.500 0.500 0.500

Calculated values
Total magnetization, Bohr magnetons per cell: 2.97
Energy above the lowest structure with this stoichiometry, eV per atom: 0.0000

***

# 7
This record from OQMD describes a relaxed structure of NaAlGePd. The functional is PBE-GGA.

Lattice parameters (Å, degrees): 4.562 4.562 4.562 60.00 60.00 60.00
Element x y z (fractional)
Na: 0.000 0.000 0.000
Al: 0.250 0.250 0.250
Ge: 0.750 0.750 0.750
Pd: 0.500 0.500 0.500

Calculated values
Energy above the lowest structure with this stoichiometry, eV per atom: 0.0000

***

# 8
This record from OQMD describes a relaxed structure of PmPaCo. The functional is PBE-GGA.

Lattice parameters (Å, degrees): 4.596 4.596 4.596 60.00 60.00 60.00
Element x y z (fractional)
Pm: 0.000 0.000 0.000
Pa: 0.750 0.750 0.750
Co: 0.500 0.500 0.500

Calculated values
Formation enthalpy at 0 K, eV/atom: 0.708
Total magnetization, Bohr magnetons per cell: 0.00
Energy above the lowest structure with this stoichiometry, eV per atom: 0.0000

***

# 9
This record from OQMD describes a relaxed structure of ScTaNO. The functional is PBE-GGA.

Lattice parameters (Å, degrees): 3.192 6.023 5.556 90.00 90.00 90.00
Element x y z (fractional)
Sc: 0.000 0.160 0.000
Sc: 0.000 0.840 0.500
Ta: 0.500 0.412 0.434
Ta: 0.500 0.588 0.934
N: 0.500 0.282 0.797
N: 0.500 0.718 0.297
O: 0.000 0.166 0.376
O: 0.000 0.834 0.876

Calculated values
Total magnetization, Bohr magnetons per cell: 0.28
Energy above the lowest structure with this stoichiometry, eV per atom: 0.0950

***

# 10
This record from OQMD describes a relaxed structure of PrNd3Pt4. The functional is PBE-GGA.

Lattice parameters (Å, degrees): 5.718 4.623 7.354 90.00 90.02 90.00
Element x y z (fractional)
Pr: 0.000 0.000 0.000
Nd: 0.280 0.500 0.365
Nd: 0.500 0.500 0.865
Nd: 0.780 0.000 0.500
Pt: 0.293 0.000 0.637
Pt: 0.487 0.000 0.137
Pt: 0.792 0.500 0.228
Pt: 0.987 0.500 0.727

Calculated values
Formation enthalpy at 0 K, eV/atom: -1.141
Total magnetization, Bohr magnetons per cell: 0.01

***

# 11
This record from OQMD describes a relaxed structure of Ba2Ga5Au3. The functional is PBE-GGA.

Lattice parameters (Å, degrees): 9.124 9.124 9.124 106.86 88.17 137.88
Element x y z (fractional)
Ba: 0.125 0.246 0.371
Ba: 0.375 0.746 0.120
Ba: 0.625 0.254 0.880
Ba: 0.875 0.754 0.629
Ga: 0.005 0.750 0.255
Ga: 0.124 0.632 0.755
Ga: 0.250 0.250 0.000
Ga: 0.376 0.132 0.508
Ga: 0.495 0.750 0.745
Ga: 0.505 0.250 0.255
Ga: 0.624 0.868 0.492
Ga: 0.750 0.750 0.000
Ga: 0.876 0.368 0.245
Ga: 0.995 0.250 0.745
Au: 0.127 0.878 0.005
Au: 0.250 0.750 0.500
Au: 0.373 0.378 0.751
Au: 0.627 0.622 0.249
Au: 0.750 0.250 0.500
Au: 0.873 0.122 0.995

***

# 12
This record from OQMD describes a relaxed structure of HoLuFe2Br2. The functional is PBE-GGA.

Lattice parameters (Å, degrees): 3.819 3.819 11.507 90.00 90.00 120.00
Element x y z (fractional)
Ho: 0.000 0.000 0.000
Lu: 0.000 0.000 0.662
Fe: 0.333 0.667 0.822
Fe: 0.667 0.333 0.835
Br: 0.333 0.667 0.167
Br: 0.667 0.333 0.498

Calculated values
Total magnetization, Bohr magnetons per cell: 1.54

***

# 13
This record from OQMD describes a relaxed structure of RbNi3Sn5. The functional is PBE-GGA.

Lattice parameters (Å, degrees): 5.214 5.214 9.399 90.00 90.00 120.00
Element x y z (fractional)
Rb: 0.000 0.000 0.000
Ni: 0.000 0.500 0.500
Ni: 0.500 0.000 0.500
Ni: 0.500 0.500 0.500
Sn: 0.000 0.000 0.500
Sn: 0.333 0.667 0.261
Sn: 0.333 0.667 0.739
Sn: 0.667 0.333 0.261
Sn: 0.667 0.333 0.739

Calculated values
Total magnetization, Bohr magnetons per cell: 0.01

***

# 14
This record from OQMD describes a relaxed structure of YZnFeSi. The functional is PBE-GGA.

Lattice parameters (Å, degrees): 4.554 4.554 4.554 60.00 60.00 60.00
Element x y z (fractional)
Y: 0.000 0.000 0.000
Zn: 0.750 0.750 0.750
Fe: 0.500 0.500 0.500
Si: 0.250 0.250 0.250

Calculated values
Total magnetization, Bohr magnetons per cell: 2.14
Energy above the lowest structure with this stoichiometry, eV per atom: 0.0000

***

# 15
This record from OQMD describes a relaxed structure of MgNiOsPb. The functional is PBE-GGA.

Lattice parameters (Å, degrees): 4.531 4.531 4.531 60.00 60.00 60.00
Element x y z (fractional)
Mg: 0.000 0.000 0.000
Ni: 0.500 0.500 0.500
Os: 0.750 0.750 0.750
Pb: 0.250 0.250 0.250

Calculated values
Total magnetization, Bohr magnetons per cell: 0.43

***

# 16
This record from OQMD describes a relaxed structure of LiZrIr2. The functional is PBE-GGA.

Lattice parameters (Å, degrees): 4.458 4.458 4.458 120.19 120.19 89.67
Element x y z (fractional)
Li: 0.000 0.000 0.000
Zr: 0.500 0.500 0.000
Ir: 0.250 0.750 0.500
Ir: 0.750 0.250 0.500

Calculated values
Total magnetization, Bohr magnetons per cell: 0.00
Energy above the lowest structure with this stoichiometry, eV per atom: 0.0000

***

# 17
This record from OQMD describes a relaxed structure of Cu7Ag. The functional is PBE-GGA.

Lattice parameters (Å, degrees): 2.642 3.612 10.558 90.00 90.00 90.00
Element x y z (fractional)
Cu: 0.000 0.000 0.000
Cu: 0.000 0.000 0.240
Cu: 0.000 0.000 0.760
Cu: 0.500 0.500 0.121
Cu: 0.500 0.500 0.358
Cu: 0.500 0.500 0.642
Cu: 0.500 0.500 0.879
Ag: 0.000 0.000 0.500

Calculated values
Formation enthalpy at 0 K, eV/atom: 0.043
Energy above the lowest structure with this stoichiometry, eV per atom: 0.0008

***

# 18
This record from OQMD describes a relaxed structure of Ta4Bi5Ir5. The functional is PBE-GGA.

Lattice parameters (Å, degrees): 7.743 7.743 7.743 99.79 99.79 131.30
Element x y z (fractional)
Ta: 0.089 0.690 0.793
Ta: 0.310 0.103 0.399
Ta: 0.704 0.911 0.601
Ta: 0.897 0.296 0.207
Bi: 0.000 0.000 0.000
Bi: 0.238 0.429 0.641
Bi: 0.403 0.762 0.191
Bi: 0.571 0.212 0.809
Bi: 0.788 0.597 0.359
Ir: 0.250 0.750 0.500
Ir: 0.436 0.107 0.108
Ir: 0.673 0.564 0.672
Ir: 0.893 0.001 0.328
Ir: 0.999 0.327 0.892

Calculated values
Total magnetization, Bohr magnetons per cell: 0.00

***

# 19
This record from OQMD describes a relaxed structure of Zr4Nb2C3S3. The functional is PBE-GGA.

Lattice parameters (Å, degrees): 5.877 5.877 12.494 103.51 103.51 60.08
Element x y z (fractional)
Zr: 0.036 0.198 0.102
Zr: 0.131 0.299 0.398
Zr: 0.198 0.036 0.602
Zr: 0.299 0.131 0.898
Zr: 0.701 0.869 0.102
Zr: 0.802 0.964 0.398
Zr: 0.869 0.701 0.602
Zr: 0.964 0.802 0.898
Nb: 0.360 0.531 0.092
Nb: 0.469 0.640 0.408
Nb: 0.531 0.360 0.592
Nb: 0.640 0.469 0.908
C: 0.000 0.500 0.000
C: 0.171 0.665 0.500
C: 0.335 0.829 0.000
C: 0.500 0.000 0.500
C: 0.665 0.171 0.000
C: 0.829 0.335 0.500
S: 0.097 0.903 0.250
S: 0.262 0.417 0.750
S: 0.417 0.262 0.250
S: 0.583 0.738 0.750
S: 0.738 0.583 0.250
S: 0.903 0.097 0.750

Calculated values
Total magnetization, Bohr magnetons per cell: 0.01

***

# 20
This record from OQMD describes a relaxed structure of CdHgTe2. The functional is PBE-GGA.

Lattice parameters (Å, degrees): 4.672 4.672 6.606 90.00 90.00 90.00
Element x y z (fractional)
Cd: 0.000 0.000 0.000
Hg: 0.500 0.500 0.500
Te: 0.000 0.500 0.249
Te: 0.500 0.000 0.751

Calculated values
Energy above the lowest structure with this stoichiometry, eV per atom: 0.0005

***

Let's list E_tot in order: -0.41318, -0.44968, -0.53558, -0.31207, -0.28962, -0.49878, -0.28521, -0.47100, -0.69766, -0.48155, -0.25239, -0.42533, -0.32386, -0.40088, -0.35996, -0.55947, -0.26180, -0.59920, -0.66318, -0.16066 Ry per atom.